Entry 1:
Here is crystalline TbPm7Er3 at its relaxed geometry from Alexandria via LeMat-Bulk. Energies are from PBE.

Summary:
E, eV/atom: -4.507
Crystal system: monoclinic
Formation energy, eV per atom: 0.181
Calculated volume, Å³/cell: 1544
Energy above the lowest structure with this stoichiometry, eV/atom: 0.000

a = 19.108 Å, b = 7.188 Å, c = 12.500 Å
α = 90.00°, β = 115.95°, γ = 90.00°
Space group C2/c (No. 15)
Inequivalent atoms, fractional coordinates:
Tb 0.000 0.000 0.000 (multiplicity 4)
Pm 0.000 0.226 0.250 (multiplicity 4)
Pm 0.160 0.494 0.774 (multiplicity 8)
Pm 0.168 0.248 0.028 (multiplicity 8)
Pm 0.168 0.249 0.530 (multiplicity 8)
Er 0.000 0.500 0.000 (multiplicity 4)
Er 0.169 0.002 0.275 (multiplicity 8)

---

Entry 2:
Here is crystalline TbPm3Er at its relaxed geometry from Alexandria via LeMat-Bulk. Energies are from PBE.

Summary:
E, eV/atom: -4.522
Crystal system: orthorhombic
Formation energy, eV per atom: 0.167
Calculated volume, Å³/cell: 688
Energy above the lowest structure with this stoichiometry, eV/atom: 0.058

a = 3.566 Å, b = 17.515 Å, c = 11.010 Å
α = 90.00°, β = 90.00°, γ = 90.00°
Space group Pbcm (No. 57)
Inequivalent atoms, fractional coordinates:
Tb 0.246 0.100 0.250 (multiplicity 4)
Pm 0.247 0.250 0.000 (multiplicity 4)
Pm 0.252 0.576 0.556 (multiplicity 8)
Er 0.254 0.725 0.750 (multiplicity 4)

---

Entry 3:
Here is crystalline Tb10PmEr4 at its relaxed geometry from Alexandria via LeMat-Bulk. Energies are from PBE.

Summary:
E, eV/atom: -4.281
Crystal system: tetragonal
Formation energy, eV per atom: 0.339
Calculated volume, Å³/cell: 983

a = 9.673 Å, b = 9.673 Å, c = 10.505 Å
α = 90.00°, β = 90.00°, γ = 90.00°
Space group I4/m (No. 87)
Inequivalent atoms, fractional coordinates:
Tb 0.000 0.500 0.250 (multiplicity 4)
Tb 0.113 0.786 0.158 (multiplicity 16)
Pm 0.000 0.000 0.500 (multiplicity 2)
Er 0.068 0.664 0.500 (multiplicity 8)

---

Entry 4:
Here is crystalline TbPm4Er2 at its relaxed geometry from Alexandria via LeMat-Bulk. Energies are from PBE.

Summary:
E, eV/atom: -4.623
Crystal system: orthorhombic
Formation energy, eV per atom: 0.057
Calculated volume, Å³/cell: 1859
Energy above the lowest structure with this stoichiometry, eV/atom: 0.000

a = 11.937 Å, b = 24.175 Å, c = 6.441 Å
α = 90.00°, β = 90.00°, γ = 90.00°
Space group Fdd2 (No. 43)
Inequivalent atoms, fractional coordinates:
Tb 0.000 0.000 0.000 (multiplicity 8)
Pm 0.052 0.430 0.993 (multiplicity 16)
Pm 0.069 0.356 0.463 (multiplicity 16)
Er 0.025 0.284 0.938 (multiplicity 16)

---

Entry 5:
Here is crystalline TbPm2Er9 at its relaxed geometry from Alexandria via LeMat-Bulk. Energies are from PBE.

Summary:
E, eV/atom: -4.576
Crystal system: tetragonal
Formation energy, eV per atom: 0.023
Calculated volume, Å³/cell: 374
Energy above the lowest structure with this stoichiometry, eV/atom: 0.000

a = 4.997 Å, b = 4.997 Å, c = 14.986 Å
α = 90.00°, β = 90.00°, γ = 90.00°
Space group P4/mmm (No. 123)
Inequivalent atoms, fractional coordinates:
Tb 0.000 0.000 0.000 (multiplicity 1)
Pm 0.000 0.000 0.333 (multiplicity 2)
Er 0.000 0.500 0.165 (multiplicity 4)
Er 0.000 0.500 0.500 (multiplicity 2)
Er 0.500 0.500 0.000 (multiplicity 1)
Er 0.500 0.500 0.333 (multiplicity 2)

---

Entry 6:
Here is crystalline TbPm4Er3 at its relaxed geometry from Alexandria via LeMat-Bulk. Energies are from PBE.

Summary:
E, eV/atom: -4.465
Crystal system: orthorhombic
Formation energy, eV per atom: 0.200
Calculated volume, Å³/cell: 533
Energy above the lowest structure with this stoichiometry, eV/atom: 0.176

a = 5.672 Å, b = 25.956 Å, c = 3.622 Å
α = 90.00°, β = 90.00°, γ = 90.00°
Space group Cmmm (No. 65)
Inequivalent atoms, fractional coordinates:
Tb 0.000 0.000 0.000 (multiplicity 2)
Pm 0.000 0.103 0.500 (multiplicity 4)
Pm 0.000 0.223 0.500 (multiplicity 4)
Er 0.000 0.349 0.000 (multiplicity 4)
Er 0.000 0.500 0.500 (multiplicity 2)

---

Entry 7:
Here is crystalline TbPmEr at its relaxed geometry from Alexandria via LeMat-Bulk. Energies are from PBE.

Summary:
E, eV/atom: -4.602
Crystal system: orthorhombic
Formation energy, eV per atom: 0.046
Calculated volume, Å³/cell: 389
Energy above the lowest structure with this stoichiometry, eV/atom: 0.026

a = 3.679 Å, b = 17.367 Å, c = 6.091 Å
α = 90.00°, β = 90.00°, γ = 90.00°
Space group Cmc2_1 (No. 36)
Inequivalent atoms, fractional coordinates:
Tb 0.000 0.082 0.000 (multiplicity 4)
Pm 0.000 0.250 0.336 (multiplicity 4)
Er 0.000 0.416 0.999 (multiplicity 4)

---

Entry 8:
Here is crystalline TbPm4Er4 at its relaxed geometry from Alexandria via LeMat-Bulk. Energies are from PBE.

Summary:
E, eV/atom: -4.548
Crystal system: monoclinic
Formation energy, eV per atom: 0.106
Calculated volume, Å³/cell: 588
Energy above the lowest structure with this stoichiometry, eV/atom: 0.085

a = 16.873 Å, b = 5.592 Å, c = 6.792 Å
α = 90.00°, β = 113.35°, γ = 90.00°
Space group C2/m (No. 12)
Inequivalent atoms, fractional coordinates:
Tb 0.000 0.000 0.000 (multiplicity 2)
Pm 0.134 0.500 0.960 (multiplicity 4)
Pm 0.220 0.000 0.286 (multiplicity 4)
Er 0.072 0.500 0.376 (multiplicity 4)
Er 0.124 0.000 0.675 (multiplicity 4)

---

Entry 9:
Here is crystalline Tb3Pm2Er5 at its relaxed geometry from Alexandria via LeMat-Bulk. Energies are from PBE.

Summary:
E, eV/atom: -4.208
Crystal system: orthorhombic
Formation energy, eV per atom: 0.412
Calculated volume, Å³/cell: 1369
Energy above the lowest structure with this stoichiometry, eV/atom: 0.219

a = 9.340 Å, b = 13.505 Å, c = 10.852 Å
α = 90.00°, β = 90.00°, γ = 90.00°
Space group Ibam (No. 72)
Inequivalent atoms, fractional coordinates:
Tb 0.000 0.000 0.250 (multiplicity 4)
Tb 0.247 0.128 0.000 (multiplicity 8)
Pm 0.106 0.123 0.500 (multiplicity 8)
Er 0.000 0.251 0.250 (multiplicity 8)
Er 0.000 0.500 0.250 (multiplicity 4)
Er 0.084 0.377 0.000 (multiplicity 8)

---

Entry 10:
Here is crystalline Tb6Pm12Er at its relaxed geometry from Alexandria via LeMat-Bulk. Energies are from PBE.

Summary:
E, eV/atom: -4.566
Crystal system: trigonal
Formation energy, eV per atom: 0.137
Calculated volume, Å³/cell: 1943
Energy above the lowest structure with this stoichiometry, eV/atom: 0.000

a = 12.1285 Å, b = 12.1285 Å, c = 15.2499 Å
α = 90.00°, β = 90.00°, γ = 120.00°
Space group R-3 (No. 148, hexagonal axes)
Inequivalent atoms, fractional coordinates:
Tb 0.0149 0.5889 0.1862 (multiplicity 18)
Pm 0.0037 0.1738 0.6908 (multiplicity 18)
Pm 0.0464 0.1961 0.9164 (multiplicity 18)
Er 0.0000 0.0000 0.5000 (multiplicity 3)

---

Entry 11:
Here is crystalline TbPm4Er8 at its relaxed geometry from Alexandria via LeMat-Bulk. Energies are from PBE.

Summary:
E, eV/atom: -4.413
Crystal system: trigonal
Formation energy, eV per atom: 0.213
Calculated volume, Å³/cell: 1257

a = 7.3687 Å, b = 7.3687 Å, c = 26.7413 Å
α = 90.00°, β = 90.00°, γ = 120.00°
Space group R-3m (No. 166, hexagonal axes)
Inequivalent atoms, fractional coordinates:
Tb 0.0000 0.0000 0.0000 (multiplicity 3)
Pm 0.0000 0.0000 0.5000 (multiplicity 3)
Pm 0.0000 0.5000 0.5000 (multiplicity 9)
Er 0.0000 0.0000 0.2822 (multiplicity 6)
Er 0.0409 0.5204 0.2710 (multiplicity 18)

---

Entry 12:
Here is crystalline Tb2Pm7Er2 at its relaxed geometry from Alexandria via LeMat-Bulk. Energies are from PBE.

Summary:
E, eV/atom: -4.535
Crystal system: monoclinic
Formation energy, eV per atom: 0.159
Calculated volume, Å³/cell: 752
Energy above the lowest structure with this stoichiometry, eV/atom: 0.047

a = 10.801 Å, b = 8.791 Å, c = 8.200 Å
α = 90.00°, β = 105.13°, γ = 90.00°
Space group C2/m (No. 12)
Inequivalent atoms, fractional coordinates:
Tb 0.049 0.000 0.310 (multiplicity 4)
Pm 0.000 0.500 0.500 (multiplicity 2)
Pm 0.221 0.198 0.680 (multiplicity 8)
Pm 0.236 0.000 0.052 (multiplicity 4)
Er 0.000 0.291 0.000 (multiplicity 4)

---

Entry 13:
Here is crystalline Tb2Pm3Er3 at its relaxed geometry from Alexandria via LeMat-Bulk. Energies are from PBE.

Summary:
E, eV/atom: -4.630
Crystal system: orthorhombic
Formation energy, eV per atom: 0.020
Calculated volume, Å³/cell: 516

a = 5.042 Å, b = 5.059 Å, c = 20.239 Å
α = 90.00°, β = 90.00°, γ = 90.00°
Space group Immm (No. 71)
Inequivalent atoms, fractional coordinates:
Tb 0.000 0.000 0.249 (multiplicity 4)
Pm 0.000 0.000 0.000 (multiplicity 2)
Pm 0.000 0.500 0.124 (multiplicity 4)
Er 0.000 0.000 0.500 (multiplicity 2)
Er 0.000 0.500 0.374 (multiplicity 4)

---

Entry 14:
Here is crystalline Tb2Pm4Er at its relaxed geometry from Alexandria via LeMat-Bulk. Energies are from PBE.

Summary:
E, eV/atom: -4.565
Crystal system: monoclinic
Formation energy, eV per atom: 0.125
Calculated volume, Å³/cell: 464
Energy above the lowest structure with this stoichiometry, eV/atom: 0.000

a = 6.204 Å, b = 6.646 Å, c = 11.625 Å
α = 90.00°, β = 104.36°, γ = 90.00°
Space group P2_1/m (No. 11)
Inequivalent atoms, fractional coordinates:
Tb 0.107 0.250 0.494 (multiplicity 2)
Tb 0.213 0.250 0.077 (multiplicity 2)
Pm 0.149 0.010 0.785 (multiplicity 4)
Pm 0.348 0.750 0.050 (multiplicity 2)
Pm 0.461 0.750 0.636 (multiplicity 2)
Er 0.352 0.750 0.337 (multiplicity 2)

---

Entry 15:
Here is crystalline Tb5PmEr12 at its relaxed geometry from Alexandria via LeMat-Bulk. Energies are from PBE.

Summary:
E, eV/atom: -4.475
Crystal system: monoclinic
Formation energy, eV per atom: 0.117
Calculated volume, Å³/cell: 1130

a = 11.113 Å, b = 17.210 Å, c = 5.908 Å
α = 90.00°, β = 90.00°, γ = 90.00°
Space group C2/m (No. 12)
Inequivalent atoms, fractional coordinates:
Tb 0.000 0.000 0.000 (multiplicity 2)
Tb 0.000 0.168 0.500 (multiplicity 4)
Tb 0.000 0.333 0.000 (multiplicity 4)
Pm 0.000 0.500 0.500 (multiplicity 2)
Er 0.173 0.000 0.547 (multiplicity 4)
Er 0.175 0.167 0.950 (multiplicity 8)
Er 0.176 0.333 0.551 (multiplicity 8)
Er 0.176 0.500 0.953 (multiplicity 4)

---

Entry 16:
Here is crystalline TbPm12Er7 at its relaxed geometry from Alexandria via LeMat-Bulk. Energies are from PBE.

Summary:
E, eV/atom: -4.451
Crystal system: trigonal
Formation energy, eV per atom: 0.228
Calculated volume, Å³/cell: 2036
Energy above the lowest structure with this stoichiometry, eV/atom: 0.000

a = 12.0770 Å, b = 12.0770 Å, c = 16.1182 Å
α = 90.00°, β = 90.00°, γ = 120.00°
Space group R-3 (No. 148, hexagonal axes)
Inequivalent atoms, fractional coordinates:
Tb 0.0000 0.0000 0.0000 (multiplicity 3)
Pm 0.0211 0.4487 0.2222 (multiplicity 18)
Pm 0.0563 0.1885 0.2899 (multiplicity 18)
Er 0.0000 0.0000 0.5000 (multiplicity 3)
Er 0.0541 0.5876 0.5831 (multiplicity 18)

---

Entry 17:
Here is crystalline Tb5PmEr6 at its relaxed geometry from Alexandria via LeMat-Bulk. Energies are from PBE.

Summary:
E, eV/atom: -4.589
Crystal system: monoclinic
Formation energy, eV per atom: 0.017
Calculated volume, Å³/cell: 751
Energy above the lowest structure with this stoichiometry, eV/atom: 0.000

a = 6.136 Å, b = 10.617 Å, c = 11.705 Å
α = 90.00°, β = 100.01°, γ = 90.00°
Space group C2/m (No. 12)
Inequivalent atoms, fractional coordinates:
Tb 0.000 0.000 0.000 (multiplicity 2)
Tb 0.000 0.167 0.500 (multiplicity 4)
Tb 0.000 0.333 0.000 (multiplicity 4)
Pm 0.000 0.500 0.500 (multiplicity 2)
Er 0.250 0.000 0.751 (multiplicity 4)
Er 0.250 0.167 0.249 (multiplicity 8)

---

Entry 18:
Here is crystalline Tb2Pm5Er at its relaxed geometry from Alexandria via LeMat-Bulk. Energies are from PBE.

Summary:
E, eV/atom: -4.475
Crystal system: monoclinic
Formation energy, eV per atom: 0.222
Calculated volume, Å³/cell: 1094
Energy above the lowest structure with this stoichiometry, eV/atom: 0.206

a = 6.220 Å, b = 28.236 Å, c = 6.542 Å
α = 90.00°, β = 107.82°, γ = 90.00°
Space group C2/c (No. 15)
Inequivalent atoms, fractional coordinates:
Tb 0.000 0.000 0.000 (multiplicity 4)
Tb 0.250 0.250 0.000 (multiplicity 4)
Pm 0.000 0.097 0.250 (multiplicity 4)
Pm 0.203 0.391 0.095 (multiplicity 8)
Pm 0.238 0.309 0.498 (multiplicity 8)
Er 0.000 0.486 0.750 (multiplicity 4)